Material: Li3Tl
Method: DFT, meta-GGA SCAN
State: single point on PBEsol structure

Cell and atoms, written as POSCAR:
```
Li3Tl
1.0
-0.123 5.828 1.023
0.060 -3.800 4.537
9.640 0.197 0.038
Li Tl
12 4
Direct
0.500 0.500 0.000
0.500 0.500 0.500
0.000 0.500 0.000
0.500 0.000 0.000
0.500 0.000 0.500
0.000 0.500 0.500
0.161 0.839 0.750
0.839 0.161 0.250
0.678 0.839 0.750
0.161 0.322 0.750
0.839 0.678 0.250
0.322 0.161 0.250
0.000 0.000 0.000
0.000 0.000 0.500
0.667 0.333 0.750
0.333 0.667 0.250
```

crystal system	hexagonal
magnetic moment	0.00	μB/f.u.
raw total energy	-20.18	eV/atom
N(E_F)	5.96	states/eV per cell